i) Density functional theory data (PBE) for a relaxed structure of YReBi3.

## Properties
Space group: Pm-3m
DOS at the Fermi energy, states/eV per cell: 6.546
Total magnetization, μB per atom: 0.000

Cell lengths 5.383, 5.383, 5.383 Å; angles 90.00, 90.00, 90.00 degrees
Element x y z (fractional)
Y (0.500, 0.500, 0.500)
Re (0.000, 0.000, 0.000)
Bi (0.000, 0.500, 0.000)
Bi (0.000, 0.000, 0.500)
Bi (0.500, 0.000, 0.000)

---

ii) Density functional theory data (PBE) for a relaxed structure of YReBi3.

## Properties
Space group: Pm-3m
DOS at the Fermi energy, states/eV per cell: 3.824
Total magnetization, μB per atom: 0.909

Cell lengths 5.819, 5.819, 5.819 Å; angles 90.00, 90.00, 90.00 degrees
Each line ends with the local moment (μB).
Element x y z (fractional)
Re (0.500, 0.500, 0.500)  3.94
Y (0.000, 0.000, 0.000)  0.07
Bi (0.000, 0.000, 0.500)  -0.15
Bi (0.000, 0.500, 0.000)  -0.06
Bi (0.500, 0.000, 0.000)  -0.04

---

Which of them is most stable? Easy: i).

---

i) Density functional theory data (PBE) for a relaxed structure of ZnRe3Bi.

## Properties
Space group: Pm-3m
DOS at the Fermi energy, states/eV per cell: 4.907
Total magnetization, μB per atom: 0.577

Cell lengths 4.613, 4.613, 4.613 Å; angles 90.00, 90.00, 90.00 degrees
Each line ends with the local moment (μB).
Element x y z (fractional)
Zn (0.000, 0.000, 0.000)  0.01
Re (0.000, 0.500, 0.000)  0.80
Re (0.500, 0.000, 0.000)  0.69
Re (0.000, 0.000, 0.500)  1.04
Bi (0.500, 0.500, 0.500)  -0.04

---

ii) Density functional theory data (PBE) for a relaxed structure of ZnRe3Bi.

## Properties
Space group: Pm-3m
DOS at the Fermi energy, states/eV per cell: 6.778
Total magnetization, μB per atom: 0.620

Cell lengths 4.991, 4.991, 4.991 Å; angles 90.00, 90.00, 90.00 degrees
Each line ends with the local moment (μB).
Element x y z (fractional)
Bi (0.000, 0.000, 0.000)  0.00
Re (0.000, 0.500, 0.000)  0.96
Re (0.000, 0.000, 0.500)  1.04
Zn (0.500, 0.500, 0.500)  -0.04
Re (0.500, 0.000, 0.000)  0.84

---

Which of them is most stable? Easy: i).

---

i) Density functional theory data (PBE) for a relaxed structure of ZrRe3Bi.

## Properties
Space group: Pm-3m
DOS at the Fermi energy, states/eV per cell: 7.113
Total magnetization, μB per atom: 0.478

Cell lengths 4.896, 4.896, 4.896 Å; angles 90.00, 90.00, 90.00 degrees
Each line ends with the local moment (μB).
Element x y z (fractional)
Re (0.000, 0.500, 0.000)  0.71
Re (0.000, 0.000, 0.500)  0.69
Bi (0.500, 0.500, 0.500)  -0.10
Re (0.500, 0.000, 0.000)  0.88
Zr (0.000, 0.000, 0.000)  -0.05

---

ii) Density functional theory data (PBE) for a relaxed structure of ZrRe3Bi.

## Properties
Space group: Pm-3m
DOS at the Fermi energy, states/eV per cell: 6.587
Total magnetization, μB per atom: 0.000

Cell lengths 4.902, 4.902, 4.902 Å; angles 90.00, 90.00, 90.00 degrees
Element x y z (fractional)
Zr (0.500, 0.500, 0.500)
Re (0.000, 0.500, 0.000)
Re (0.500, 0.000, 0.000)
Bi (0.000, 0.000, 0.000)
Re (0.000, 0.000, 0.500)

---

Which of them is most stable? Easy: i).

---

i) Density functional theory data (PBE) for a relaxed structure of Bi4Rh.

## Properties
Space group: Fdd2
DOS at the Fermi energy, states/eV per cell: 5.788
Total magnetization, μB per atom: 0.000

Cell lengths 7.185, 7.185, 7.442 Å; angles 103.49, 103.49, 121.12 degrees
Element x y z (fractional)
Bi (0.125, 0.934, 0.621)
Bi (0.690, 0.451, 0.647)
Bi (0.313, 0.504, 0.379)
Bi (0.754, 0.063, 0.879)
Bi (0.804, 0.044, 0.353)
Bi (0.294, 0.554, 0.853)
Rh (0.470, 0.970, 0.500)
Rh (0.220, 0.220, 0.000)
Bi (0.184, 0.875, 0.121)
Bi (0.701, 0.440, 0.147)

---

ii) Density functional theory data (PBE) for a relaxed structure of Bi4Rh.

## Properties
Space group: P4/nbm
DOS at the Fermi energy, states/eV per cell: 5.335
Total magnetization, μB per atom: 0.000

Cell lengths 6.129, 6.736, 6.736 Å; angles 90.00, 90.00, 90.00 degrees
Element x y z (fractional)
Rh (0.000, 0.000, 0.000)
Bi (0.249, 0.675, 0.825)
Bi (0.751, 0.325, 0.825)
Bi (0.751, 0.825, 0.675)
Bi (0.249, 0.325, 0.175)
Rh (0.000, 0.500, 0.500)
Bi (0.751, 0.175, 0.325)
Bi (0.751, 0.675, 0.175)
Bi (0.249, 0.825, 0.325)
Bi (0.249, 0.175, 0.675)

---

iii) Density functional theory data (PBE) for a relaxed structure of Bi4Rh.

## Properties
Space group: Ia-3d
DOS at the Fermi energy, states/eV per cell: 18.643
Total magnetization, μB per atom: 0.000

Cell lengths 13.145, 13.145, 13.145 Å; angles 109.47, 109.47, 109.47 degrees
Element x y z (fractional)
Bi (0.216, 0.177, 0.087)
Bi (0.177, 0.587, 0.716)
Bi (0.961, 0.089, 0.177)
Bi (0.087, 0.411, 0.372)
Bi (0.913, 0.589, 0.628)
Bi (0.784, 0.961, 0.372)
Rh (0.625, 0.750, 0.375)
Rh (0.750, 0.375, 0.625)
Bi (0.413, 0.628, 0.589)
Bi (0.628, 0.089, 0.913)
Bi (0.411, 0.872, 0.587)
Bi (0.716, 0.087, 0.177)
Rh (0.125, 0.750, 0.875)
Bi (0.784, 0.823, 0.913)
Bi (0.461, 0.177, 0.089)
Rh (0.875, 0.625, 0.250)
Bi (0.589, 0.128, 0.413)
Bi (0.323, 0.284, 0.413)
Rh (0.375, 0.250, 0.625)
Bi (0.461, 0.284, 0.872)
Bi (0.823, 0.413, 0.284)
Rh (0.125, 0.375, 0.750)
Bi (0.911, 0.323, 0.539)
Bi (0.677, 0.961, 0.589)
Bi (0.039, 0.911, 0.823)
Bi (0.087, 0.677, 0.216)
Bi (0.539, 0.823, 0.911)
Bi (0.589, 0.461, 0.677)
Bi (0.587, 0.372, 0.411)
Bi (0.411, 0.539, 0.323)
Bi (0.284, 0.372, 0.961)
Bi (0.913, 0.323, 0.784)
Rh (0.875, 0.250, 0.125)
Bi (0.823, 0.411, 0.039)
Bi (0.911, 0.587, 0.872)
Bi (0.872, 0.784, 0.461)
Bi (0.961, 0.872, 0.284)
Bi (0.677, 0.716, 0.587)
Bi (0.372, 0.461, 0.784)
Bi (0.323, 0.039, 0.411)
Rh (0.250, 0.625, 0.375)
Rh (0.375, 0.125, 0.250)
Bi (0.089, 0.677, 0.461)
Bi (0.089, 0.413, 0.128)
Bi (0.177, 0.589, 0.961)
Bi (0.284, 0.913, 0.823)
Rh (0.750, 0.875, 0.125)
Bi (0.413, 0.784, 0.323)
Bi (0.872, 0.087, 0.911)
Bi (0.628, 0.539, 0.216)
Bi (0.372, 0.911, 0.087)
Bi (0.216, 0.039, 0.628)
Bi (0.128, 0.216, 0.539)
Bi (0.587, 0.216, 0.677)
Bi (0.128, 0.913, 0.089)
Rh (0.250, 0.125, 0.875)
Bi (0.039, 0.128, 0.716)
Rh (0.625, 0.875, 0.750)
Bi (0.539, 0.716, 0.128)
Bi (0.716, 0.628, 0.039)

---

Which of them is most stable? Easy: iii).

---

i) Density functional theory data (PBE) for a relaxed structure of Bi3Rh.

## Properties
Space group: Imm2
DOS at the Fermi energy, states/eV per cell: 2.119
Total magnetization, μB per atom: 0.000

Cell lengths 3.449, 5.086, 7.017 Å; angles 111.25, 104.23, 90.00 degrees
Element x y z (fractional)
Bi (0.500, 0.422, 0.000)
Bi (0.675, 0.056, 0.350)
Bi (0.325, 0.706, 0.650)
Rh (0.000, 0.984, 0.000)

---

ii) Density functional theory data (PBE) for a relaxed structure of Bi3Rh.

## Properties
Space group: Cmcm
DOS at the Fermi energy, states/eV per cell: 4.677
Total magnetization, μB per atom: 0.000

Cell lengths 3.872, 6.639, 8.679 Å; angles 90.00, 90.00, 106.95 degrees
Element x y z (fractional)
Bi (0.425, 0.849, 0.750)
Bi (0.148, 0.296, 0.559)
Bi (0.852, 0.704, 0.441)
Rh (0.764, 0.528, 0.750)
Rh (0.236, 0.472, 0.250)
Bi (0.148, 0.296, 0.941)
Bi (0.575, 0.151, 0.250)
Bi (0.852, 0.704, 0.059)

---

Which of them is most stable? Easy: ii).

---

i) Density functional theory data (PBE) for a relaxed structure of Bi3Rh.

## Properties
Space group: P2_1/m
DOS at the Fermi energy, states/eV per cell: 4.332
Total magnetization, μB per atom: 0.000

Cell lengths 3.481, 6.604, 9.734 Å; angles 98.44, 90.00, 90.00 degrees
Element x y z (fractional)
Bi (0.750, 0.234, 0.554)
Bi (0.250, 0.619, 0.814)
Bi (0.750, 0.893, 0.143)
Bi (0.250, 0.766, 0.446)
Rh (0.250, 0.142, 0.326)
Bi (0.250, 0.107, 0.857)
Rh (0.750, 0.858, 0.674)
Bi (0.750, 0.381, 0.186)

---

ii) Density functional theory data (PBE) for a relaxed structure of Bi3Rh.

## Properties
Space group: Pnma
DOS at the Fermi energy, states/eV per cell: 8.320
Total magnetization, μB per atom: 0.000

Cell lengths 4.308, 8.942, 11.616 Å; angles 90.00, 90.00, 90.00 degrees
Element x y z (fractional)
Bi (0.250, 0.897, 0.094)
Bi (0.250, 0.303, 0.113)
Bi (0.250, 0.803, 0.387)
Rh (0.250, 0.102, 0.479)
Bi (0.250, 0.397, 0.406)
Bi (0.250, 0.903, 0.678)
Bi (0.750, 0.697, 0.887)
Bi (0.750, 0.597, 0.178)
Bi (0.750, 0.097, 0.322)
Rh (0.750, 0.398, 0.979)
Bi (0.750, 0.197, 0.613)
Bi (0.250, 0.403, 0.822)
Rh (0.750, 0.898, 0.521)
Bi (0.750, 0.103, 0.906)
Bi (0.750, 0.603, 0.594)
Rh (0.250, 0.602, 0.021)

---

Which of them is most stable? Easy: ii).